The following is a PBE-GGA calculation of crystalline ErTlO3 at its relaxed geometry, from the Alexandria database.

a b c (Å): 3.070 5.908 5.906
angles (deg): 59.99 89.98 90.02
Positions (direct):
1 O 0.720 0.262 0.225
2 O 0.720 0.774 0.225
3 O 0.720 0.262 0.737
4 Er 0.220 0.099 0.062
5 Tl 0.220 0.433 0.395

Properties
Formation energy (no corrections) (eV per atom): -1.901
VASP energy (eV for the cell shown): -31.31
Magnetic moment (μB/cell): 0.0



The following is a PBE-GGA calculation of crystalline Tm3PuRu8 at its relaxed geometry, from the Alexandria database.

a b c (Å): 5.301 5.301 9.203
angles (deg): 73.26 73.26 60.00
Positions (direct):
1 Ru 0.188 0.188 0.436
2 Ru 0.938 0.437 0.688
3 Ru 0.937 0.438 0.187
4 Ru 0.438 0.438 0.187
5 Ru 0.438 0.937 0.187
6 Ru 0.688 0.688 0.936
7 Ru 0.437 0.938 0.688
8 Ru 0.938 0.938 0.688
9 Pu 0.875 0.875 0.376
10 Tm 0.375 0.375 0.875
11 Tm 0.000 0.000 0.000
12 Tm 0.500 0.500 0.501

Properties
Energy of formation from the pure elements (meV per atom): -282
VASP energy (eV for the cell shown): -105.34
Magnetic moment (μB/cell): 3.1



The following is a PBE-GGA calculation of crystalline CsTb2AgS4 at its relaxed geometry, from the Alexandria database.

a b c (Å): 4.124 7.358 14.339
angles (deg): 90.00 90.00 106.28
Positions (direct):
1 S 0.431 0.862 0.750
2 S 0.569 0.138 0.250
3 S 0.256 0.512 0.403
4 S 0.744 0.488 0.597
5 S 0.744 0.488 0.903
6 S 0.000 0.000 0.000
7 S 0.000 0.000 0.500
8 S 0.256 0.512 0.097
9 Tb 0.368 0.736 0.936
10 Tb 0.632 0.264 0.436
11 Tb 0.368 0.736 0.564
12 Tb 0.632 0.264 0.064
13 Cs 0.887 0.774 0.250
14 Cs 0.113 0.226 0.750
15 Ag 0.168 0.336 0.250
16 Ag 0.832 0.664 0.750

Properties
Formation energy (no corrections) (eV per atom): -1.568
VASP energy (eV for the cell shown): -84.04
Magnetic moment (μB/cell): 0.0



The following is a PBE-GGA calculation of crystalline Pr6ZnCd at its relaxed geometry, from the Alexandria database.

a b c (Å): 9.784 9.784 9.784
angles (deg): 148.46 148.46 45.21
Positions (direct):
1 Cd 0.500 0.500 0.000
2 Zn 0.000 0.000 0.000
3 Pr 0.607 0.107 0.500
4 Pr 0.393 0.893 0.500
5 Pr 0.250 0.250 0.000
6 Pr 0.893 0.393 0.500
7 Pr 0.107 0.607 0.500
8 Pr 0.750 0.750 0.000

Properties
Distance to the lowest polymorph of the same formula (meV/atom): 0.0
Energy of formation from the pure elements (meV per atom): -140
VASP energy (eV for the cell shown): -31.99
Magnetic moment (μB/cell): 0.0



The following is a PBE-GGA calculation of crystalline TaSiRu at its relaxed geometry, from the Alexandria database.

a b c (Å): 4.242 4.242 4.242
angles (deg): 60.00 60.00 60.00
Positions (direct):
1 Ta 0.750 0.750 0.750
2 Ru 0.000 0.000 0.000
3 Si 0.500 0.500 0.500

Properties
Formation energy (no corrections) (eV per atom): 0.175
VASP energy (eV for the cell shown): -26.03
Magnetic moment (μB/cell): 0.0



The following is a PBE-GGA calculation of crystalline CePrSe3 at its relaxed geometry, from the Alexandria database.

a b c (Å): 4.218 7.885 16.340
angles (deg): 90.00 90.00 90.00
Positions (direct):
1 Se 0.250 0.008 0.393
2 Se 0.750 0.492 0.893
3 Se 0.750 0.625 0.433
4 Se 0.750 0.992 0.607
5 Se 0.250 0.875 0.933
6 Se 0.750 0.847 0.218
7 Se 0.250 0.153 0.782
8 Se 0.750 0.125 0.067
9 Se 0.250 0.375 0.567
10 Se 0.250 0.508 0.107
11 Se 0.250 0.653 0.718
12 Se 0.750 0.347 0.282
13 Pr 0.250 0.631 0.295
14 Pr 0.250 0.131 0.205
15 Pr 0.750 0.869 0.795
16 Pr 0.750 0.369 0.705
17 Ce 0.750 0.236 0.458
18 Ce 0.250 0.264 0.958
19 Ce 0.250 0.764 0.542
20 Ce 0.750 0.736 0.042

Properties
Distance to the lowest polymorph of the same formula (meV/atom): 0.0
Formation energy (no corrections) (eV per atom): -1.867
VASP energy (eV for the cell shown): -122.01
Magnetic moment (μB/cell): 3.6



The following is a PBE-GGA calculation of crystalline BeSi2H at its relaxed geometry, from the Alexandria database.

a b c (Å): 8.502 3.887 6.752
angles (deg): 90.00 105.92 90.00
Positions (direct):
1 Si 0.743 0.367 0.414
2 Si 0.355 0.867 0.455
3 Si 0.743 0.867 0.914
4 Si 0.645 0.867 0.545
5 Si 0.257 0.367 0.586
6 Si 0.355 0.367 0.955
7 Si 0.257 0.867 0.086
8 Si 0.645 0.367 0.045
9 Be 0.003 0.290 0.651
10 Be 0.997 0.790 0.849
11 Be 0.997 0.290 0.349
12 Be 0.003 0.790 0.151
13 H 0.982 0.921 0.336
14 H 0.018 0.421 0.164
15 H 0.018 0.921 0.664
16 H 0.982 0.421 0.836

Properties
Distance to the lowest polymorph of the same formula (meV/atom): 0.0
VASP energy (eV for the cell shown): -70.65
Magnetic moment (μB/cell): 0.0



The following is a PBE-GGA calculation of crystalline La8DyIn2 at its relaxed geometry, from the Alexandria database.

a b c (Å): 5.306 9.155 9.465
angles (deg): 118.92 106.28 90.00
Positions (direct):
1 La 0.000 0.330 0.000
2 La 0.341 0.557 0.682
3 La 0.659 0.875 0.318
4 La 0.149 0.149 0.299
5 La 0.659 0.443 0.318
6 La 0.851 0.851 0.701
7 La 0.000 0.670 0.000
8 La 0.341 0.125 0.682
9 In 0.198 0.698 0.395
10 In 0.802 0.302 0.605
11 Dy 0.500 0.000 0.000

Properties
Distance to the lowest polymorph of the same formula (meV/atom): 0.0
Energy of formation from the pure elements (meV per atom): -139
VASP energy (eV for the cell shown): -51.02
Magnetic moment (μB/cell): 0.0



The following is a PBE-GGA calculation of crystalline TcTePb2 at its relaxed geometry, from the Alexandria database.

a b c (Å): 3.169 3.169 10.590
angles (deg): 90.00 90.00 96.72
Positions (direct):
1 Tc 0.500 0.500 0.250
2 Pb 0.000 0.000 0.058
3 Pb 0.000 0.000 0.442
4 Te 0.500 0.500 0.750

Properties
Formation energy (no corrections) (eV per atom): 0.458
VASP energy (eV for the cell shown): -19.09
Magnetic moment (μB/cell): 1.1



The following is a PBE-GGA calculation of crystalline LaHfGaPb2 at its relaxed geometry, from the Alexandria database.

a b c (Å): 5.894 5.454 5.894
angles (deg): 90.00 90.00 90.00
Positions (direct):
1 Hf 0.500 0.500 0.500
2 La 0.000 0.000 0.000
3 Pb 0.500 0.000 0.000
4 Pb 0.000 0.000 0.500
5 Ga 0.000 0.500 0.000

Properties
Energy of formation from the pure elements (meV per atom): 1161
VASP energy (eV for the cell shown): -19.52
Magnetic moment (μB/cell): 0.0



The following is a PBE-GGA calculation of crystalline ScTl2 at its relaxed geometry, from the Alexandria database.

a b c (Å): 7.646 7.646 4.757
angles (deg): 90.00 90.00 120.00
Positions (direct):
1 Tl 0.000 0.555 0.500
2 Tl 0.555 0.000 0.500
3 Tl 0.757 0.757 0.000
4 Tl 0.243 0.000 0.000
5 Tl 0.000 0.243 0.000
6 Tl 0.445 0.445 0.500
7 Sc 0.667 0.333 0.000
8 Sc 0.333 0.667 0.000
9 Sc 0.000 0.000 0.500

Properties
Energy of formation from the pure elements (meV per atom): 46
VASP energy (eV for the cell shown): -32.78
Magnetic moment (μB/cell): 0.0



The following is a PBE-GGA calculation of crystalline KOs at its relaxed geometry, from the Alexandria database.

a b c (Å): 2.753 2.753 5.819
angles (deg): 90.00 90.00 118.38
Positions (direct):
1 K 0.000 0.000 0.000
2 Os 0.500 0.500 0.500

Properties
Distance to the lowest polymorph of the same formula (meV/atom): 618.4
Energy of formation from the pure elements (meV per atom): 1317
VASP energy (eV for the cell shown): -9.69
Magnetic moment (μB/cell): 0.0



The following is a PBE-GGA calculation of crystalline Nd2RuCl at its relaxed geometry, from the Alexandria database.

a b c (Å): 4.067 4.067 7.953
angles (deg): 90.01 104.82 119.98
Positions (direct):
1 Cl 0.000 0.500 0.500
2 Ru 0.000 0.000 0.000
3 Nd 0.470 0.735 0.205
4 Nd 0.530 0.265 0.794

Properties
Distance to the lowest polymorph of the same formula (meV/atom): 0.0
Formation energy (no corrections) (eV per atom): -0.845
VASP energy (eV for the cell shown): -24.04
Magnetic moment (μB/cell): 0.0



The following is a PBE-GGA calculation of crystalline Tc2BRu at its relaxed geometry, from the Alexandria database.

a b c (Å): 2.865 2.865 7.233
angles (deg): 78.58 78.58 60.00
Positions (direct):
1 Tc 0.065 0.065 0.806
2 Tc 0.268 0.268 0.196
3 Ru 0.501 0.501 0.496
4 B 0.666 0.666 0.002

Properties
Distance to the lowest polymorph of the same formula (meV/atom): 179.2
Energy of formation from the pure elements (meV per atom): -43
VASP energy (eV for the cell shown): -36.86
Magnetic moment (μB/cell): 0.0



The following is a PBE-GGA calculation of crystalline V2BH at its relaxed geometry, from the Alexandria database.

a b c (Å): 4.713 5.759 5.139
angles (deg): 90.00 90.00 90.00
Positions (direct):
1 B 0.250 0.938 0.781
2 B 0.750 0.562 0.781
3 B 0.250 0.438 0.219
4 B 0.750 0.062 0.219
5 V 0.000 0.250 0.920
6 V 0.250 0.105 0.400
7 V 0.000 0.750 0.080
8 V 0.500 0.750 0.080
9 V 0.500 0.250 0.920
10 V 0.750 0.395 0.400
11 V 0.250 0.605 0.600
12 V 0.750 0.895 0.600
13 H 0.750 0.690 0.333
14 H 0.250 0.310 0.667
15 H 0.250 0.810 0.333
16 H 0.750 0.190 0.667

Properties
Distance to the lowest polymorph of the same formula (meV/atom): 0.0
VASP energy (eV for the cell shown): -118.48
Magnetic moment (μB/cell): 0.0



The following is a PBE-GGA calculation of crystalline Er6P2HS3 at its relaxed geometry, from the Alexandria database.

a b c (Å): 3.890 7.705 8.630
angles (deg): 103.89 103.03 90.00
Positions (direct):
1 S 0.500 0.500 0.000
2 S 0.169 0.834 0.337
3 S 0.831 0.166 0.663
4 H 0.500 0.000 0.000
5 P 0.837 0.672 0.673
6 P 0.163 0.328 0.327
7 Er 0.001 0.750 0.002
8 Er 0.669 0.579 0.338
9 Er 0.665 0.085 0.331
10 Er 0.335 0.915 0.669
11 Er 0.999 0.250 0.998
12 Er 0.331 0.421 0.662

Properties
VASP energy (eV for the cell shown): -72.76
Magnetic moment (μB/cell): 0.0



The following is a PBE-GGA calculation of crystalline Ta2SiMo at its relaxed geometry, from the Alexandria database.

a b c (Å): 9.349 9.349 9.349
angles (deg): 17.84 17.84 17.84
Positions (direct):
1 Si 0.752 0.752 0.752
2 Mo 0.493 0.493 0.493
3 Ta 0.007 0.007 0.007
4 Ta 0.248 0.248 0.248

Properties
Formation energy (no corrections) (eV per atom): 0.156
VASP energy (eV for the cell shown): -39.34
Magnetic moment (μB/cell): 0.0



The following is a PBE-GGA calculation of crystalline TaZn2W at its relaxed geometry, from the Alexandria database.

a b c (Å): 2.744 2.744 8.830
angles (deg): 90.00 90.00 105.89
Positions (direct):
1 Zn 0.500 0.500 0.242
2 Zn 0.000 0.000 0.004
3 Ta 0.000 0.000 0.496
4 W 0.500 0.500 0.759

Properties
Distance to the lowest polymorph of the same formula (meV/atom): 0.0
Energy of formation from the pure elements (meV per atom): 80
VASP energy (eV for the cell shown): -27.04
Magnetic moment (μB/cell): 0.0



The following is a PBE-GGA calculation of crystalline KSr3Rh at its relaxed geometry, from the Alexandria database.

a b c (Å): 6.050 6.050 6.050
angles (deg): 90.00 90.00 90.00
Positions (direct):
1 Sr 0.000 0.000 0.500
2 Sr 0.500 0.000 0.000
3 Sr 0.000 0.500 0.000
4 Rh 0.000 0.000 0.000
5 K 0.500 0.500 0.500

Properties
Distance to the lowest polymorph of the same formula (meV/atom): 19.5
Energy of formation from the pure elements (meV per atom): -117
VASP energy (eV for the cell shown): -14.08
Magnetic moment (μB/cell): 0.0



The following is a PBE-GGA calculation of crystalline TcPb2BrO4 at its relaxed geometry, from the Alexandria database.

a b c (Å): 3.491 5.319 8.965
angles (deg): 76.30 78.77 70.84
Positions (direct):
1 O 0.606 0.744 0.043
2 O 0.868 0.068 0.197
3 O 0.132 0.932 0.803
4 O 0.394 0.256 0.957
5 Br 0.500 0.500 0.500
6 Pb 0.183 0.420 0.215
7 Pb 0.817 0.580 0.785
8 Tc 0.000 0.000 0.000

Properties
Formation energy (no corrections) (eV per atom): -1.062
VASP energy (eV for the cell shown): -47.79
Magnetic moment (μB/cell): 0.0